Entry from Alexandria via LeMat-Bulk: a relaxed Ce2SmTh3Sb6 crystal (PBE).

Calculated values
The formation energy (no corrections) is -12.157 eV/f.u. Its space-group type is C2/m (12). For the energy, the calculation gives -6.31 eV per atom.

a = 4.4974 Å, b = 9.0061 Å, c = 10.0632 Å
α = 102.99°, β = 102.91°, γ = 90.00°
Last column: magnetic moment on the atom in μB.
Atoms (fractional coordinates):
Sb 0.3342 0.9162 0.6683  -0.01
Sb 0.0003 0.2486 0.0006  0.00
Ce 0.1664 0.3326 0.3328  0.79
Th 0.8333 0.1662 0.6666  0.02
Sm 0.5000 0.0000 0.0000  0.00
Th 0.1667 0.8338 0.3334  0.02
Sb 0.3330 0.4173 0.6660  -0.01
Ce 0.8336 0.6674 0.6672  0.79
Sb 0.6670 0.5827 0.3340  -0.01
Sb 0.6658 0.0838 0.3317  -0.01
Sb 0.9997 0.7514 0.9994  0.00
Th 0.5000 0.5000 0.0000  0.01

Entry from Alexandria via LeMat-Bulk: a relaxed NaGeSe2N crystal (PBE).

Calculated values
The formation energy (no corrections) is 5.929 eV/f.u. Its space-group type is P4/mmm (123). For the energy, the calculation gives -3.06 eV per atom. The calculation puts the energy above the most stable polymorph in this dataset at 4.49 eV/f.u.

a = 5.2357 Å, b = 5.2357 Å, c = 4.3212 Å
α = 90.00°, β = 90.00°, γ = 90.00°
Last column: magnetic moment on the atom in μB.
Atoms (fractional coordinates):
Na 0.0000 0.0000 0.0000  0.02
Se 0.5000 0.0000 0.0000  0.33
Ge 0.5000 0.5000 0.5000  -0.01
N 0.0000 0.0000 0.5000  1.69
Se 0.0000 0.5000 0.0000  0.33

Entry from Alexandria via LeMat-Bulk: a relaxed K2DyBr5 crystal (PBE).

Calculated values
The formation energy (no corrections) is -14.637 eV/f.u. Its space-group type is Pnma (62). For the energy, the calculation gives -3.72 eV per atom. The calculation puts the energy above the most stable polymorph in this dataset at 0.00 eV/f.u.

a = 8.5598 Å, b = 9.0775 Å, c = 13.5545 Å
α = 90.00°, β = 90.00°, γ = 90.00°
Atoms (fractional coordinates):
K 0.4341 0.9945 0.8289
Br 0.6088 0.2500 0.6806
Br 0.3912 0.7500 0.3194
Br 0.6501 0.7500 0.6989
Br 0.5853 0.7500 0.9888
Dy 0.5754 0.7500 0.4947
Br 0.9147 0.7500 0.4888
Br 0.8499 0.7500 0.1989
Br 0.8912 0.2500 0.1806
K 0.9341 0.0055 0.6711
Br 0.0853 0.2500 0.5112
Dy 0.9246 0.7500 0.9947
Br 0.1667 0.5453 0.0687
Br 0.1088 0.7500 0.8194
Dy 0.4246 0.2500 0.5053
Br 0.3333 0.5453 0.5687
K 0.9341 0.4945 0.6711
Br 0.6667 0.0453 0.4313
Br 0.6667 0.4547 0.4313
Br 0.8333 0.0453 0.9313
K 0.4341 0.5055 0.8289
Br 0.3333 0.9547 0.5687
Br 0.4147 0.2500 0.0112
Br 0.1501 0.2500 0.8011
Br 0.3499 0.2500 0.3011
K 0.5659 0.4945 0.1711
Br 0.8333 0.4547 0.9313
K 0.0659 0.9945 0.3289
Br 0.1667 0.9547 0.0687
K 0.5659 0.0055 0.1711
K 0.0659 0.5055 0.3289
Dy 0.0754 0.2500 0.0053

Entry from Alexandria via LeMat-Bulk: a relaxed Sr3U3TaN8 crystal (PBE).

Calculated values
The formation energy (no corrections) is -17.306 eV/f.u. Its space-group type is R-3m (166). For the energy, the calculation gives -8.98 eV per atom.

a = 6.8663 Å, b = 6.8669 Å, c = 7.2124 Å
α = 118.43°, β = 90.00°, γ = 120.00°
Last column: magnetic moment on the atom in μB.
Atoms (fractional coordinates):
U 0.5000 0.5000 0.5000  1.36
N 0.7818 0.5636 0.3203  -0.05
N 0.2182 0.4364 0.6797  -0.05
N 0.2646 0.5291 0.2938  -0.06
Sr 0.0000 0.5000 0.0000  0.04
U 0.0000 0.5000 0.5000  1.36
Sr 0.5000 0.5000 0.0000  0.04
N 0.7354 0.4709 0.7062  -0.06
U 0.5000 0.0000 0.5000  1.36
Ta 0.0000 0.0000 0.5000  0.07
N 0.2566 0.0384 0.3202  -0.05
Sr 0.0000 0.0000 0.0000  0.04
N 0.2182 0.9616 0.6798  -0.05
N 0.7434 0.9616 0.6798  -0.05
N 0.7818 0.0384 0.3202  -0.05

Entry from Alexandria via LeMat-Bulk: a relaxed RuW2Br crystal (PBE).

Calculated values
The formation energy (no corrections) is 2.869 eV/f.u. Its space-group type is P4/mmm (123). For the energy, the calculation gives -8.50 eV per atom. The calculation puts the energy above the most stable polymorph in this dataset at 0.91 eV/f.u.

a = 2.9850 Å, b = 2.9850 Å, c = 7.0435 Å
α = 90.00°, β = 90.00°, γ = 90.00°
Atoms (fractional coordinates):
Br 0.5000 0.5000 0.2500
Ru 0.5000 0.5000 0.7500
W 0.0000 0.0000 0.5032
W 0.0000 0.0000 0.9968

Entry from Alexandria via LeMat-Bulk: a relaxed K2NiPt crystal (PBE).

Calculated values
As for the formation enthalpy at 0 K: 3.09 eV/f.u. Its space-group type is Fm-3m (225). For the energy, the calculation gives -2.73 eV per atom. The calculation puts the energy above the most stable polymorph in this dataset at 2.70 eV/f.u.

a = 5.3474 Å, b = 5.3474 Å, c = 5.3474 Å
α = 60.00°, β = 60.00°, γ = 60.00°
Last column: magnetic moment on the atom in μB.
Atoms (fractional coordinates):
Ni 0.0000 0.0000 0.0000  0.86
Pt 0.5000 0.5000 0.5000  0.12
K 0.2500 0.2500 0.2500  0.00
K 0.7500 0.7500 0.7500  0.00